Ta4In3Mo2N3: relaxed, GGA-PBE.

```
24
Lattice="4.577 -2.640 0.000 4.577 2.640 0.000 -3.097 0.000 14.775" Properties=species:S:1:pos:R:3 pbc="T T T"
Ta 0.753 0.499 1.276
Ta 0.792 0.422 6.107
Ta -0.796 -0.499 8.664
Ta -0.757 -0.422 13.495
Ta 6.815 0.422 1.281
Ta 6.854 0.499 6.112
Ta 5.266 -0.422 8.668
Ta 5.305 -0.499 13.499
In 3.803 2.186 3.694
In 0.755 0.405 11.057
In 2.304 -0.405 3.670
In 3.754 0.405 11.106
In 5.302 -0.405 3.718
In 2.255 -2.186 11.082
Mo 3.861 0.420 1.314
Mo 3.745 0.420 6.073
Mo 2.313 -0.420 8.702
Mo 2.197 -0.420 13.461
N 2.289 1.320 0.000
N 2.220 1.393 7.388
N 5.387 1.393 0.000
N 0.740 -1.320 7.388
N 3.768 -1.393 0.000
N 3.838 -1.393 7.388
```

Computed properties:
Calculated total energy = -211.58 eV per cell